Computed, not measured: a relaxed PmPr3Nd3Te8 crystal at the GGA-PBE level of DFT.

```
15
Lattice="-0.5279 6.1626 6.5214 -7.2064 -4.9400 -2.1090 6.9994 -3.8147 4.1714" Properties=species:S:1:pos:R:3 pbc="T T T"
Pm 3.4997 -1.9073 2.0857
Pr 0.0000 0.0000 0.0000
Pr -3.6032 -2.4700 -1.0545
Pr -3.8672 0.6113 2.2062
Nd 3.2357 1.1740 5.3464
Nd -0.3675 -1.2960 4.2919
Nd -0.1035 -4.3773 1.0312
Te -1.9804 -1.8953 1.6307
Te 1.2454 -0.6967 6.9530
Te -2.2091 1.2192 4.8629
Te 1.4741 -3.8113 3.7209
Te 1.3300 3.6454 5.8985
Te -2.0650 -6.2374 2.6853
Te 1.5893 0.6189 2.6958
Te -2.3243 -3.2110 5.8880
```

Values from the calculation:
- SG: R-3m (166)
- DOS at the Fermi energy: 7.30 states/eV/f.u.
- ΔE_f (raw): -1.4645 eV per atom
- DFT total energy: -80.49 eV for the cell shown


Computed, not measured: a relaxed ZrIr2Ru crystal at the GGA-PBE level of DFT.

```
4
Lattice="2.8246 0.0057 0.0000 -0.0060 2.8246 0.0000 0.0000 0.0000 7.9559" Properties=species:S:1:pos:R:3 pbc="T T T"
Ir 0.0000 0.0000 0.1588
Ir 0.0000 0.0000 3.8191
Ru 1.4093 1.4151 1.9890
Zr 1.4093 1.4151 5.9669
```

Values from the calculation:
- SG: P4/mmm (123)
- Energy relative to the lowest polymorph listed for this composition: 268 meV/atom
- DOS at the Fermi energy: 3.26 states/eV/f.u.
- DFT total energy: -36.59 eV for the cell shown


Computed, not measured: a relaxed Mg2GeRh crystal at the GGA-PBE level of DFT.

```
4
Lattice="4.3091 -0.0122 -0.0117 -2.1450 3.7373 0.0117 -2.1479 -1.2434 4.4936" Properties=species:S:1:pos:R:3 pbc="T T T"
Mg -3.2178 1.8694 4.3922
Mg 1.0825 -0.6289 2.8052
Ge -1.0729 0.6233 1.3487
Rh 1.0854 1.8606 1.5674
```

Values from the calculation:
- SG: R3m (160)
- DOS at the Fermi energy: 0.91 states/eV/f.u.
- DFT total energy: -16.87 eV for the cell shown


Computed, not measured: a relaxed Th5Bi crystal at the GGA-PBE level of DFT.

```
6
Lattice="-2.8075 0.1286 -3.9531 3.3120 -2.7884 -2.4430 -5.3713 -5.1442 3.6474" Properties=species:S:1:pos:R:3 pbc="T T T"
Bi 0.0000 0.0000 0.0000
Th -2.2074 -5.6584 -1.5920
Th 0.4362 -3.5408 -0.4250
Th 0.2522 -1.3299 -3.1980
Th -2.4956 -4.3918 1.6295
Th -2.6595 -2.1456 -1.1566
```

Values from the calculation:
- SG: Cmmm (65)
- DOS at the Fermi energy: 8.33 states/eV/f.u.
- DFT total energy: -41.70 eV for the cell shown


Q: The lowest DOS at the Fermi energy belongs to which entry?
A: Mg2GeRh


Q: Among the records above, which one has the highest DOS at the Fermi energy?
A: Th5Bi